Record 1
First-principles (PBE-GGA) data for an optimized crystal structure of LaGa2Ni2, as listed in Alexandria.

Cell lengths 7.6576, 7.6576, 2.8206 Å; angles 90.00, 90.00, 90.00 degrees
Atoms (fractional coordinates):
1 La 0.0000 0.0000 0.0000
2 La 0.5000 0.5000 0.0000
3 Ga 0.1202 0.3798 0.0000
4 Ga 0.3798 0.8798 0.0000
5 Ga 0.6202 0.1202 0.0000
6 Ga 0.8798 0.6202 0.0000
7 Ni 0.1740 0.6740 0.5000
8 Ni 0.3260 0.1740 0.5000
9 Ni 0.6740 0.8260 0.5000
10 Ni 0.8260 0.3260 0.5000

Values from the calculation:
**Calculated volume**: 165.4 Å³/cell
**ρ**: 7.95 Mg/m³
**Electronic total energy**: -0.1737 hartree per atom


Record 2
First-principles (PBE-GGA) data for an optimized crystal structure of La6GaNi2, as listed in Alexandria.

Cell lengths 8.7742, 8.7742, 8.7742 Å; angles 114.72, 107.64, 106.19 degrees
Atoms (fractional coordinates):
1 La 0.0442 0.2342 0.8099
2 La 0.1699 0.2920 0.4619
3 La 0.1699 0.7080 0.8779
4 La 0.3374 0.0239 0.6865
5 La 0.3374 0.6509 0.3135
6 La 0.4243 0.2342 0.1901
7 La 0.5757 0.7658 0.8099
8 La 0.6626 0.3491 0.6865
9 La 0.6626 0.9761 0.3135
10 La 0.8301 0.2920 0.1221
11 La 0.8301 0.7080 0.5381
12 La 0.9558 0.7658 0.1901
13 Ga 0.0000 0.0000 0.0000
14 Ga 0.5000 0.5000 0.0000
15 Ni 0.1316 0.6316 0.5000
16 Ni 0.2946 0.0000 0.2946
17 Ni 0.7054 0.0000 0.7054
18 Ni 0.8684 0.3684 0.5000

Values from the calculation:
**Calculated volume**: 516.6 Å³/cell
**ρ**: 6.56 Mg/m³
**Electronic total energy**: -0.1909 hartree per atom


Record 3
First-principles (PBE-GGA) data for an optimized crystal structure of La2Ga12Ni, as listed in Alexandria.

Cell lengths 6.1385, 6.1385, 15.5354 Å; angles 90.00, 90.00, 90.00 degrees
Atoms (fractional coordinates):
1 La 0.2500 0.7500 0.2420
2 La 0.2500 0.7500 0.7580
3 La 0.7500 0.2500 0.2420
4 La 0.7500 0.2500 0.7580
5 Ga 0.0003 0.9997 0.0830
6 Ga 0.9997 0.0003 0.9170
7 Ga 0.9997 0.4997 0.0830
8 Ga 0.0003 0.5003 0.9170
9 Ga 0.0781 0.5781 0.4306
10 Ga 0.0781 0.9219 0.5694
11 Ga 0.2500 0.2500 0.1820
12 Ga 0.2500 0.2500 0.3430
13 Ga 0.2500 0.2500 0.6570
14 Ga 0.2500 0.2500 0.8180
15 Ga 0.4219 0.5781 0.5694
16 Ga 0.4219 0.9219 0.4306
17 Ga 0.5003 0.0003 0.0830
18 Ga 0.4997 0.9997 0.9170
19 Ga 0.4997 0.5003 0.0830
20 Ga 0.5003 0.4997 0.9170
21 Ga 0.5781 0.0781 0.5694
22 Ga 0.5781 0.4219 0.4306
23 Ga 0.7500 0.7500 0.1820
24 Ga 0.7500 0.7500 0.3430
25 Ga 0.7500 0.7500 0.6570
26 Ga 0.7500 0.7500 0.8180
27 Ga 0.9219 0.0781 0.4306
28 Ga 0.9219 0.4219 0.5694
29 Ni 0.2500 0.7500 0.0000
30 Ni 0.7500 0.2500 0.0000

Values from the calculation:
**Calculated volume**: 585.4 Å³/cell
**ρ**: 6.66 Mg/m³
**Electronic total energy**: -0.1432 hartree per atom


Record 4
First-principles (PBE-GGA) data for an optimized crystal structure of La3GaNi2, as listed in Alexandria.

Cell lengths 6.0353, 11.6510, 9.1199 Å; angles 90.00, 110.59, 90.00 degrees
Atoms (fractional coordinates):
1 La 0.1735 0.2329 0.3286
2 La 0.1735 0.2671 0.8286
3 La 0.2224 0.5948 0.9852
4 La 0.2224 0.9052 0.4852
5 La 0.3066 0.5496 0.6019
6 La 0.3066 0.9504 0.1019
7 La 0.6934 0.0496 0.8981
8 La 0.6934 0.4504 0.3981
9 La 0.7776 0.0948 0.5148
10 La 0.7776 0.4052 0.0148
11 La 0.8265 0.7329 0.1714
12 La 0.8265 0.7671 0.6714
13 Ga 0.4101 0.6975 0.3300
14 Ga 0.4101 0.8025 0.8300
15 Ga 0.5899 0.1975 0.1700
16 Ga 0.5899 0.3025 0.6700
17 Ni 0.1653 0.5091 0.2786
18 Ni 0.1653 0.9909 0.7786
19 Ni 0.3349 0.1300 0.6247
20 Ni 0.3349 0.3700 0.1247
21 Ni 0.6651 0.6300 0.8753
22 Ni 0.6651 0.8700 0.3753
23 Ni 0.8347 0.0091 0.2214
24 Ni 0.8347 0.4909 0.7214

Values from the calculation:
**Calculated volume**: 600.3 Å³/cell
**ρ**: 6.68 Mg/m³
**Electronic total energy**: -0.1939 hartree per atom


Record 5
First-principles (PBE-GGA) data for an optimized crystal structure of La2GaNi9, as listed in Alexandria.

Cell lengths 8.7902, 8.7902, 8.7902 Å; angles 32.55, 32.55, 32.55 degrees
Atoms (fractional coordinates):
1 La 0.1336 0.1336 0.1336
2 La 0.8664 0.8664 0.8664
3 Ga 0.0000 0.0000 0.0000
4 Ni 0.0795 0.5790 0.5790
5 Ni 0.3327 0.3327 0.3327
6 Ni 0.4210 0.4210 0.9205
7 Ni 0.4210 0.9205 0.4210
8 Ni 0.5000 0.5000 0.5000
9 Ni 0.5790 0.0795 0.5790
10 Ni 0.5790 0.5790 0.0795
11 Ni 0.6673 0.6673 0.6673
12 Ni 0.9205 0.4210 0.4210

Values from the calculation:
**Calculated volume**: 174.8 Å³/cell
**ρ**: 8.32 Mg/m³
**Electronic total energy**: -0.2048 hartree per atom


Record 6
First-principles (PBE-GGA) data for an optimized crystal structure of La2GaNi3, as listed in Alexandria.

Cell lengths 4.1705, 4.1705, 16.3100 Å; angles 90.00, 90.00, 120.00 degrees
Atoms (fractional coordinates):
1 La 0.0000 0.0000 0.1189
2 La 0.0000 0.0000 0.3811
3 La 0.0000 0.0000 0.6189
4 La 0.0000 0.0000 0.8811
5 Ga 0.3333 0.6667 0.2500
6 Ga 0.6667 0.3333 0.7500
7 Ni 0.3333 0.6667 0.0010
8 Ni 0.3333 0.6667 0.4990
9 Ni 0.3333 0.6667 0.7500
10 Ni 0.6667 0.3333 0.2500
11 Ni 0.6667 0.3333 0.5010
12 Ni 0.6667 0.3333 0.9990

Values from the calculation:
**Calculated volume**: 245.7 Å³/cell
**ρ**: 7.08 Mg/m³
**Electronic total energy**: -0.2008 hartree per atom


Record 7
First-principles (PBE-GGA) data for an optimized crystal structure of LaGa12Ni4, as listed in Alexandria.

Cell lengths 7.4627, 7.4627, 7.4627 Å; angles 109.47, 109.47, 109.47 degrees
Atoms (fractional coordinates):
1 La 0.0000 0.0000 0.0000
2 Ga 0.1601 0.3396 0.8205
3 Ga 0.1795 0.5191 0.3396
4 Ga 0.1795 0.8399 0.6604
5 Ga 0.3396 0.1795 0.5191
6 Ga 0.3396 0.8205 0.1601
7 Ga 0.4809 0.6604 0.8205
8 Ga 0.5191 0.3396 0.1795
9 Ga 0.6604 0.1795 0.8399
10 Ga 0.6604 0.8205 0.4809
11 Ga 0.8205 0.1601 0.3396
12 Ga 0.8205 0.4809 0.6604
13 Ga 0.8399 0.6604 0.1795
14 Ni 0.0000 0.0000 0.5000
15 Ni 0.0000 0.5000 0.0000
16 Ni 0.5000 0.0000 0.0000
17 Ni 0.5000 0.5000 0.5000

Values from the calculation:
**Calculated volume**: 319.9 Å³/cell
**ρ**: 6.28 Mg/m³
**Electronic total energy**: -0.1456 hartree per atom


Record 8
First-principles (PBE-GGA) data for an optimized crystal structure of La3Ga3Ni, as listed in Alexandria.

Cell lengths 6.0895, 6.0895, 14.6909 Å; angles 106.57, 106.57, 41.88 degrees
Atoms (fractional coordinates):
1 La 0.0251 0.0251 0.3897
2 La 0.1107 0.1107 0.9172
3 La 0.2418 0.2418 0.2358
4 La 0.7582 0.7582 0.7642
5 La 0.8893 0.8893 0.0828
6 La 0.9749 0.9749 0.6103
7 Ga 0.3243 0.3243 0.4601
8 Ga 0.4005 0.4005 0.9262
9 Ga 0.4603 0.4603 0.7627
10 Ga 0.5397 0.5397 0.2373
11 Ga 0.5995 0.5995 0.0738
12 Ga 0.6757 0.6757 0.5399
13 Ni 0.2658 0.2658 0.6138
14 Ni 0.7342 0.7342 0.3862

Values from the calculation:
**Calculated volume**: 346.3 Å³/cell
**ρ**: 6.56 Mg/m³
**Electronic total energy**: -0.1760 hartree per atom


Record 9
First-principles (PBE-GGA) data for an optimized crystal structure of LaGa3Ni, as listed in Alexandria.

Cell lengths 4.6516, 4.6516, 4.6516 Å; angles 90.00, 90.00, 90.00 degrees
Atoms (fractional coordinates):
1 La 0.0000 0.0000 0.0000
2 Ga 0.0000 0.5000 0.5000
3 Ga 0.5000 0.0000 0.5000
4 Ga 0.5000 0.5000 0.0000
5 Ni 0.5000 0.5000 0.5000

Values from the calculation:
**Calculated volume**: 100.6 Å³/cell
**ρ**: 6.71 Mg/m³
**Electronic total energy**: -0.1614 hartree per atom


Record 10
First-principles (PBE-GGA) data for an optimized crystal structure of LaGaNi5, as listed in Alexandria.

Cell lengths 7.9804, 4.9356, 10.1319 Å; angles 90.00, 90.00, 90.00 degrees
Atoms (fractional coordinates):
1 La 0.2456 0.2500 0.0564
2 La 0.2544 0.7500 0.5564
3 La 0.7456 0.2500 0.4436
4 La 0.7544 0.7500 0.9436
5 Ga 0.1458 0.7500 0.8572
6 Ga 0.3542 0.2500 0.3572
7 Ga 0.6458 0.7500 0.6428
8 Ga 0.8542 0.2500 0.1428
9 Ni 0.0593 0.7500 0.0979
10 Ni 0.0651 0.0044 0.3058
11 Ni 0.0651 0.4956 0.3058
12 Ni 0.0984 0.2500 0.5172
13 Ni 0.1844 0.2500 0.7528
14 Ni 0.3156 0.7500 0.2528
15 Ni 0.4016 0.7500 0.0172
16 Ni 0.4349 0.5044 0.8058
17 Ni 0.4349 0.9956 0.8058
18 Ni 0.4407 0.2500 0.5979
19 Ni 0.5593 0.7500 0.4021
20 Ni 0.5651 0.0044 0.1942
21 Ni 0.5651 0.4956 0.1942
22 Ni 0.5984 0.2500 0.9828
23 Ni 0.6844 0.2500 0.7472
24 Ni 0.8156 0.7500 0.2472
25 Ni 0.9016 0.7500 0.4828
26 Ni 0.9349 0.5044 0.6942
27 Ni 0.9349 0.9956 0.6942
28 Ni 0.9407 0.2500 0.9021

Values from the calculation:
**Calculated volume**: 399.1 Å³/cell
**ρ**: 8.36 Mg/m³
**Electronic total energy**: -0.2059 hartree per atom


Record 11
First-principles (PBE-GGA) data for an optimized crystal structure of La2Ga2Ni3, as listed in Alexandria.

Cell lengths 9.3227, 9.3227, 7.0811 Å; angles 90.00, 90.00, 154.46 degrees
Atoms (fractional coordinates):
1 La 0.0607 0.9393 0.7500
2 La 0.1474 0.8526 0.2500
3 La 0.8526 0.1474 0.7500
4 La 0.9393 0.0607 0.2500
5 Ga 0.3075 0.6925 0.0606
6 Ga 0.3075 0.6925 0.4394
7 Ga 0.6925 0.3075 0.5606
8 Ga 0.6925 0.3075 0.9394
9 Ni 0.2273 0.7727 0.7500
10 Ni 0.4403 0.5597 0.5675
11 Ni 0.4403 0.5597 0.9325
12 Ni 0.5597 0.4403 0.0675
13 Ni 0.5597 0.4403 0.4325
14 Ni 0.7727 0.2273 0.2500

Values from the calculation:
**Calculated volume**: 265.3 Å³/cell
**ρ**: 7.43 Mg/m³
**Electronic total energy**: -0.1928 hartree per atom


Record 12
First-principles (PBE-GGA) data for an optimized crystal structure of La2Ga6Ni3, as listed in Alexandria.

Cell lengths 7.5685, 7.5685, 4.1520 Å; angles 90.00, 90.00, 120.00 degrees
Atoms (fractional coordinates):
1 La 0.3333 0.6667 0.0000
2 La 0.6667 0.3333 0.0000
3 Ga 0.0000 0.1989 0.0000
4 Ga 0.0000 0.6929 0.5000
5 Ga 0.1989 0.0000 0.0000
6 Ga 0.3071 0.3071 0.5000
7 Ga 0.6929 0.0000 0.5000
8 Ga 0.8011 0.8011 0.0000
9 Ni 0.0000 0.3634 0.5000
10 Ni 0.3634 0.0000 0.5000
11 Ni 0.6366 0.6366 0.5000

Values from the calculation:
**Calculated volume**: 206.0 Å³/cell
**ρ**: 7.03 Mg/m³
**Electronic total energy**: -0.1703 hartree per atom


Record 13
First-principles (PBE-GGA) data for an optimized crystal structure of LaGaNi3, as listed in Alexandria.

Cell lengths 4.4149, 4.4149, 4.4149 Å; angles 90.00, 90.00, 90.00 degrees
Atoms (fractional coordinates):
1 La 0.0000 0.0000 0.0000
2 Ga 0.5000 0.5000 0.5000
3 Ni 0.0000 0.5000 0.5000
4 Ni 0.5000 0.0000 0.5000
5 Ni 0.5000 0.5000 0.0000

Values from the calculation:
**Calculated volume**: 86.1 Å³/cell
**ρ**: 7.42 Mg/m³
**Electronic total energy**: -0.1870 hartree per atom


Record 14
First-principles (PBE-GGA) data for an optimized crystal structure of La3GaNi8, as listed in Alexandria.

Cell lengths 8.8480, 8.8480, 8.8480 Å; angles 33.64, 33.64, 33.64 degrees
Atoms (fractional coordinates):
1 La 0.0000 0.0000 0.0000
2 La 0.1289 0.1289 0.1289
3 La 0.5165 0.5165 0.5165
4 Ga 0.6422 0.6422 0.6422
5 Ni 0.0634 0.5667 0.5667
6 Ni 0.0708 0.0708 0.5674
7 Ni 0.0708 0.5674 0.0708
8 Ni 0.3169 0.3169 0.3169
9 Ni 0.5667 0.0634 0.5667
10 Ni 0.5674 0.0708 0.0708
11 Ni 0.5667 0.5667 0.0634
12 Ni 0.8177 0.8177 0.8177

Values from the calculation:
**Calculated volume**: 189.3 Å³/cell
**ρ**: 8.38 Mg/m³
**Electronic total energy**: -0.2085 hartree per atom


Record 15
First-principles (PBE-GGA) data for an optimized crystal structure of La2GaNi12P3, as listed in Alexandria.

Cell lengths 7.1109, 7.1109, 7.1109 Å; angles 65.70, 65.70, 65.70 degrees
Atoms (fractional coordinates):
1 La 0.1160 0.1160 0.1160
2 La 0.8840 0.8840 0.8840
3 Ga 0.5000 0.5000 0.5000
4 Ni 0.1299 0.6250 0.6250
5 Ni 0.1624 0.1624 0.5956
6 Ni 0.1624 0.5956 0.1624
7 Ni 0.3750 0.3750 0.8701
8 Ni 0.3750 0.8701 0.3750
9 Ni 0.4044 0.8376 0.8376
10 Ni 0.5956 0.1624 0.1624
11 Ni 0.6250 0.1299 0.6250
12 Ni 0.6250 0.6250 0.1299
13 Ni 0.8376 0.4044 0.8376
14 Ni 0.8376 0.8376 0.4044
15 Ni 0.8701 0.3750 0.3750
16 P 0.0000 0.5000 0.5000
17 P 0.5000 0.0000 0.5000
18 P 0.5000 0.5000 0.0000

Values from the calculation:
**Calculated volume**: 285.7 Å³/cell
**ρ**: 6.65 Mg/m³
**Electronic total energy**: -0.2063 hartree per atom


Record 16
First-principles (PBE-GGA) data for an optimized crystal structure of LaGa2NiPb, as listed in Alexandria.

Cell lengths 4.7468, 4.7468, 5.1811 Å; angles 90.00, 90.00, 90.00 degrees
Atoms (fractional coordinates):
1 La 0.0000 0.0000 0.0000
2 Ga 0.0000 0.5000 0.5000
3 Ga 0.5000 0.0000 0.5000
4 Ni 0.0000 0.0000 0.5000
5 Pb 0.5000 0.5000 0.0000

Values from the calculation:
**Calculated volume**: 116.7 Å³/cell
**ρ**: 7.74 Mg/m³
**Electronic total energy**: -0.1642 hartree per atom


Record 17
First-principles (PBE-GGA) data for an optimized crystal structure of La2Ga4Ni3Pd, as listed in Alexandria.

Cell lengths 4.2840, 4.2840, 9.9524 Å; angles 90.00, 90.00, 90.00 degrees
Atoms (fractional coordinates):
1 La 0.0000 0.5000 0.2461
2 La 0.5000 0.0000 0.7539
3 Ga 0.0000 0.0000 0.0000
4 Ga 0.0000 0.5000 0.6312
5 Ga 0.5000 0.0000 0.3688
6 Ga 0.5000 0.5000 0.0000
7 Ni 0.0000 0.5000 0.8746
8 Ni 0.5000 0.0000 0.1254
9 Ni 0.5000 0.5000 0.5000
10 Pd 0.0000 0.0000 0.5000

Values from the calculation:
**Calculated volume**: 182.7 Å³/cell
**ρ**: 7.63 Mg/m³
**Electronic total energy**: -0.1864 hartree per atom


Record 18
First-principles (PBE-GGA) data for an optimized crystal structure of LaGa4NiPd2, as listed in Alexandria.

Cell lengths 9.2937, 9.2937, 9.2937 Å; angles 26.65, 26.65, 26.65 degrees
Atoms (fractional coordinates):
1 La 0.0000 0.0000 0.0000
2 Ga 0.1351 0.1351 0.1351
3 Ga 0.4047 0.4047 0.4047
4 Ga 0.5953 0.5953 0.5953
5 Ga 0.8649 0.8649 0.8649
6 Ni 0.5000 0.5000 0.5000
7 Pd 0.2337 0.2337 0.2337
8 Pd 0.7663 0.7663 0.7663

Values from the calculation:
**Calculated volume**: 142.4 Å³/cell
**ρ**: 8.04 Mg/m³
**Electronic total energy**: -0.1748 hartree per atom


Record 19
First-principles (PBE-GGA) data for an optimized crystal structure of La2Ga3NiPd4, as listed in Alexandria.

Cell lengths 4.3310, 4.3310, 10.4194 Å; angles 90.00, 90.00, 90.00 degrees
Atoms (fractional coordinates):
1 La 0.0000 0.5000 0.2387
2 La 0.5000 0.0000 0.7613
3 Ga 0.0000 0.0000 0.0000
4 Ga 0.0000 0.5000 0.6268
5 Ga 0.5000 0.0000 0.3732
6 Ni 0.5000 0.5000 0.0000
7 Pd 0.0000 0.0000 0.5000
8 Pd 0.0000 0.5000 0.8674
9 Pd 0.5000 0.0000 0.1326
10 Pd 0.5000 0.5000 0.5000

Values from the calculation:
**Calculated volume**: 195.4 Å³/cell
**ρ**: 8.25 Mg/m³
**Electronic total energy**: -0.1938 hartree per atom